Entry 1:
{
  "formula": "NdGdTlBi",
  "functional": "GGA-PBE",
  "state": "relaxed",
  "lattice": [[0.0000, 3.9147, 3.9147], [3.9147, 0.0000, 3.9147], [3.9147, 3.9147, 0.0000]],
  "species": ["Nd", "Gd", "Tl", "Bi"],
  "frac_coords": [[0.0000, 0.0000, 0.0000], [0.5000, 0.5000, 0.5000], [0.7500, 0.7500, 0.7500], [0.2500, 0.2500, 0.2500]],
  "sg": "F-43m",
  "magnetic_moment_mub_per_fu": 7.547,
  "dos_ef_per_ev_cell": 5.41,
  "energy_ev_per_cell": -27.0
}

---

Entry 2:
{
  "formula": "Mn2Tl3CdCl9",
  "functional": "GGA-PBE",
  "state": "relaxed",
  "lattice": [[7.2316, 0.0000, 0.0000], [-3.6158, 6.2628, 0.0000], [0.0000, 0.0000, 8.8749]],
  "species": ["Mn", "Mn", "Tl", "Tl", "Tl", "Cd", "Cl", "Cl", "Cl", "Cl", "Cl", "Cl", "Cl", "Cl", "Cl"],
  "frac_coords": [[0.3333, 0.6667, 0.1630], [0.6667, 0.3333, 0.8370], [0.0000, 0.0000, 0.0000], [0.3333, 0.6667, 0.6740], [0.6667, 0.3333, 0.3260], [0.0000, 0.0000, 0.5000], [0.0000, 0.5000, 0.0000], [0.1704, 0.3408, 0.3263], [0.1704, 0.8296, 0.3263], [0.3408, 0.1704, 0.6737], [0.5000, 0.0000, 0.0000], [0.5000, 0.5000, 0.0000], [0.6592, 0.8296, 0.3263], [0.8296, 0.1704, 0.6737], [0.8296, 0.6592, 0.6737]],
  "sg": "P-3m1",
  "raw_formation_energy_ev_per_atom": -1.04,
  "magnetic_moment_mub_per_fu": 10.000
}

---

Entry 3:
{
  "formula": "AlAsOs2",
  "functional": "GGA-PBE",
  "state": "relaxed",
  "lattice": [[0.0000, 3.0427, 3.0427], [3.0427, 0.0000, 3.0427], [3.0427, 3.0427, 0.0000]],
  "species": ["Al", "As", "Os", "Os"],
  "frac_coords": [[0.0000, 0.0000, 0.0000], [0.5000, 0.5000, 0.5000], [0.2500, 0.2500, 0.2500], [0.7500, 0.7500, 0.7500]],
  "sg": "Fm-3m",
  "magnetic_moment_mub_per_fu": 0.000,
  "e_above_lowest_polymorph_ev_per_atom": 0.0445,
  "dos_ef_per_ev_cell": 1.15
}